1.
CeNd5Tl4: relaxed, PBE.

Cell: 8.9180 8.3080 9.4322 Å, 90.00 90.00 90.00°
Last column: magnetic moment on the atom in μB.
Sites, in units of the cell vectors:
1 Nd 0.2707 0.2635 0.8048  0.04
2 Nd 0.9185 0.5000 0.0000  0.00
3 Nd 0.7293 0.2365 0.6952  0.04
4 Nd 0.7293 0.7635 0.3048  0.04
5 Tl 0.9943 0.5000 0.6631  0.00
6 Nd 0.2707 0.2635 0.1952  0.04
7 Ce 0.3139 0.5000 0.5000  0.80
8 Tl 0.0057 0.0000 0.8369  0.00
9 Tl 0.4376 0.1699 0.5000  -0.01
10 Nd 0.7293 0.7635 0.6952  0.04
11 Tl 0.9943 0.5000 0.3369  0.00
12 Ce 0.6861 0.0000 0.0000  0.80
13 Tl 0.4376 0.8301 0.5000  -0.01
14 Nd 0.0815 0.0000 0.5000  0.00
15 Nd 0.2707 0.7365 0.1952  0.04
16 Tl 0.5624 0.6699 0.0000  -0.01
17 Tl 0.5624 0.3301 0.0000  -0.01
18 Nd 0.2707 0.7365 0.8048  0.04
19 Tl 0.0057 0.0000 0.1631  0.00
20 Nd 0.7293 0.2365 0.3048  0.04

Output
**Total DFT energy (no corrections)**: -3.949 eV/atom
**Formation energy from the elements**: -25.1 meV/atom
**Energy relative to the lowest polymorph listed for this composition**: 2.64 eV/f.u.
**M_tot**: 1.23 μB/f.u.

2.
KAgPbCl4: relaxed, PBE.

Cell: 7.2134 7.4127 8.6081 Å, 90.00 106.93 90.00°
Sites, in units of the cell vectors:
1 Cl 0.4993 0.2500 0.3966
2 K 0.2271 0.2500 0.0526
3 Pb 0.2066 0.2500 0.5512
4 Cl 0.9892 0.0074 0.2692
5 Ag 0.7573 0.2500 0.6799
6 Cl 0.5101 0.2500 0.8454
7 Cl 0.0108 0.5074 0.7308
8 Ag 0.2427 0.7500 0.3201
9 Cl 0.0108 0.9926 0.7308
10 Cl 0.9892 0.4926 0.2692
11 Pb 0.7934 0.7500 0.4488
12 Cl 0.4899 0.7500 0.1546
13 K 0.7729 0.7500 0.9474
14 Cl 0.5007 0.7500 0.6034

Output
**Uncorrected formation energy**: -1.15 eV per atom
**Total DFT energy (no corrections)**: -3.302 eV/atom
**M_tot**: 0.00 μB/f.u.